No. 1
DFT (GGA-PBE) results for a relaxed structure of Pr2Zn7. Values from VASP.

Structure (Quantum ESPRESSO input):
```
&SYSTEM
  ibrav = 0, nat = 18, ntyp = 2
/
ATOMIC_SPECIES
Pr 140.91 Pr.upf
Zn 65.41 Zn.upf
ATOMIC_POSITIONS crystal
Pr 0.051 0.051 0.051
Pr 0.149 0.149 0.149
Pr 0.851 0.851 0.851
Pr 0.949 0.949 0.949
Zn 0.000 0.500 0.500
Zn 0.107 0.610 0.610
Zn 0.279 0.279 0.279
Zn 0.388 0.388 0.388
Zn 0.390 0.390 0.893
Zn 0.390 0.893 0.390
Zn 0.500 0.000 0.500
Zn 0.500 0.500 0.000
Zn 0.500 0.500 0.500
Zn 0.610 0.107 0.610
Zn 0.610 0.610 0.107
Zn 0.612 0.612 0.612
Zn 0.721 0.721 0.721
Zn 0.893 0.390 0.390
CELL_PARAMETERS angstrom
2.765 1.596 12.974
-2.765 1.596 12.974
0.000 -3.193 12.974
```

## Properties
N(E_F): 0.51 states/eV/atom
DFT total energy: -2.3475 eV/atom

---

No. 2
DFT (GGA-PBE) results for a relaxed structure of CaTlCdHg. Values from VASP.

Structure (Quantum ESPRESSO input):
```
&SYSTEM
  ibrav = 0, nat = 4, ntyp = 4
/
ATOMIC_SPECIES
Ca 40.08 Ca.upf
Tl 204.38 Tl.upf
Cd 112.41 Cd.upf
Hg 200.59 Hg.upf
ATOMIC_POSITIONS crystal
Ca 0.000 0.000 0.000
Tl 0.250 0.250 0.250
Cd 0.500 0.500 0.500
Hg 0.750 0.750 0.750
CELL_PARAMETERS angstrom
0.000 3.717 3.717
3.717 0.000 3.717
3.717 3.717 0.000
```

## Properties
N(E_F): 0.95 states/eV/atom
DFT total energy: -1.6789 eV/atom